# 1
Entry from the Alexandria database: crystalline SnBRu2I at its relaxed geometry (PBE).

a = 4.3928 Å, b = 4.3928 Å, c = 4.5378 Å
α = 90.00°, β = 90.00°, γ = 90.00°
Space group P4/mmm (No. 123)
Asymmetric unit:
Sn: 0.0000 0.0000 0.0000 [1 per cell]
B: 0.0000 0.0000 0.5000 [1 per cell]
Ru: 0.0000 0.5000 0.5000 [2 per cell]
I: 0.5000 0.5000 0.0000 [1 per cell]

Properties
Crystal system ... tetragonal
VASP energy ... -0.391 Ry per atom
ΔE_f (raw) ... 80.98 kJ/mol of atoms


# 2
Entry from the Alexandria database: crystalline TlBRuI2 at its relaxed geometry (PBE).

a = 6.2962 Å, b = 6.2962 Å, c = 5.2996 Å
α = 90.00°, β = 90.00°, γ = 90.00°
Space group P4/mmm (No. 123)
Asymmetric unit:
Tl: 0.0000 0.0000 0.0000 [1 per cell]
B: 0.5000 0.5000 0.5000 [1 per cell]
Ru: 0.0000 0.0000 0.5000 [1 per cell]
I: 0.0000 0.5000 0.0000 [2 per cell]

Properties
Crystal system ... tetragonal
VASP energy ... -0.173 Ry per atom
ΔE_f (raw) ... 186.18 kJ/mol of atoms


# 3
Entry from the Alexandria database: crystalline YBRu2I at its relaxed geometry (PBE).

a = 4.7779 Å, b = 4.7779 Å, c = 5.6310 Å
α = 90.00°, β = 90.00°, γ = 90.00°
Space group P4/mmm (No. 123)
Asymmetric unit:
Y: 0.0000 0.0000 0.0000 [1 per cell]
B: 0.5000 0.5000 0.0000 [1 per cell]
Ru: 0.0000 0.5000 0.5000 [2 per cell]
I: 0.0000 0.0000 0.5000 [1 per cell]

Properties
Crystal system ... tetragonal
VASP energy ... -0.347 Ry per atom
ΔE_f (raw) ... 186.19 kJ/mol of atoms